Compound: NaSm2Ir
Source: the Alexandria database
Functional: PBE-GGA
Structure: optimized geometry

a = 3.554 Å, b = 3.554 Å, c = 9.455 Å
α = 90.00°, β = 90.00°, γ = 90.00°
Space group P4/mmm (No. 123)
Inequivalent atoms, fractional coordinates:
Na: 0.000 0.000 0.000 x1
Sm: 0.500 0.500 0.328 x2
Ir: 0.000 0.000 0.500 x1

Calculated values
The value obtained for the formation energy is -0.310 eV/atom.

=====

Compound: NaSm2Ir
Source: the Alexandria database
Functional: PBE-GGA
Structure: optimized geometry

a = 4.1108 Å, b = 4.1108 Å, c = 31.6180 Å
α = 90.00°, β = 90.00°, γ = 120.00°
Space group R-3m (No. 166, hexagonal axes)
Inequivalent atoms, fractional coordinates:
Na: 0.0000 0.0000 0.0000 x3
Sm: 0.0000 0.0000 0.1201 x6
Ir: 0.0000 0.0000 0.5000 x3

Calculated values
The value obtained for the formation energy is -0.287 eV/atom.

=====

no.,energy above the lowest structure with this stoichiometry (eV/atom),total moment (μB/cell)
1,0.000,0.00
2,0.023,0.00